(1)
3
Lattice="-4.200 0.978 0.574 1.204 -4.132 -0.632 0.281 -0.314 2.591" Properties=species:S:1:pos:R:3 comment="LiMgCo PBE relaxed" total_magnetization_mub_per_atom=0.26 space_group=P3m1 e_tot_ha_per_atom=-0.1227 formation_enthalpy_0k_ev_per_atom=0.198 crystal_system=trigonal pbc="T T T"
Li -2.338 -0.792 0.726
Co 0.035 -0.040 0.327
Mg -0.412 -2.636 1.480

=====

(2)
4
Lattice="-1.977 -2.675 2.750 -1.649 -0.812 -1.975 2.709 -4.214 -2.153" Properties=species:S:1:pos:R:3 comment="Li2MgCo PBE relaxed" total_magnetization_mub_per_atom=0.29 space_group=Pm e_tot_ha_per_atom=-0.1087 formation_enthalpy_0k_ev_per_atom=0.174 crystal_system=monoclinic pbc="T T T"
Co -0.520 -5.174 -2.021
Mg 0.626 -2.722 -2.198
Li 1.309 -4.899 -3.826
Li -0.740 -2.446 0.475

=====

(3)
4
Lattice="-2.020 1.688 3.786 2.224 -2.253 3.352 1.879 2.403 -3.458" Properties=species:S:1:pos:R:3 comment="Li2MgCo PBE relaxed" total_magnetization_mub_per_atom=0.21 space_group=I-4m2 e_tot_ha_per_atom=-0.1071 formation_enthalpy_0k_ev_per_atom=0.216 crystal_system=tetragonal pbc="T T T"
Co -0.020 1.904 1.949
Li 0.000 0.000 0.000
Mg 0.102 -0.283 3.569
Li 2.102 -0.066 1.732

=====

(4)
5
Lattice="3.563 0.000 0.000 0.000 3.563 0.000 1.781 1.781 6.007" Properties=species:S:1:pos:R:3 comment="Li2MgCo2 PBE relaxed" total_magnetization_mub_per_atom=0.60 space_group=I4/mmm e_tot_ha_per_atom=-0.1286 formation_enthalpy_0k_ev_per_atom=0.427 crystal_system=tetragonal pbc="T T T"
Li 1.781 3.563 3.003
Mg 0.000 0.000 0.000
Co 1.781 1.781 1.078
Li 3.563 1.781 3.003
Co 3.563 3.563 4.929

=====

(5)
3
Lattice="-4.833 -3.536 -2.482 -1.512 -5.227 -3.524 3.131 3.308 4.613" Properties=species:S:1:pos:R:3 comment="LiMgCo PBE relaxed" total_magnetization_mub_per_atom=0.47 space_group=I4mm e_tot_ha_per_atom=-0.1218 formation_enthalpy_0k_ev_per_atom=0.224 crystal_system=tetragonal pbc="T T T"
Mg -4.126 -5.698 -3.905
Co -6.336 -8.751 -5.997
Li -2.228 -3.076 -2.108

=====

(6)
6
Lattice="4.794 0.000 0.000 2.397 4.151 0.000 2.397 1.384 3.914" Properties=species:S:1:pos:R:3 comment="LiMgCo4 PBE relaxed" total_magnetization_mub_per_atom=1.00 space_group=F-43m e_tot_ha_per_atom=-0.1932 formation_enthalpy_0k_ev_per_atom=0.065 crystal_system=cubic pbc="T T T"
Co 5.991 3.459 2.446
Co 4.794 2.768 0.491
Co 3.596 3.459 2.446
Co 4.794 1.385 2.446
Mg 0.000 0.000 0.000
Li 2.397 1.384 0.978

=====

(7)
5
Lattice="-3.472 0.119 2.346 1.793 -2.572 2.784 1.283 2.797 1.757" Properties=species:S:1:pos:R:3 comment="Li2MgCoN PBE relaxed" total_magnetization_mub_per_atom=0.07 space_group=P4/mmm e_tot_ha_per_atom=-0.1600 crystal_system=tetragonal raw_formation_energy_ev_per_fu=-0.9 pbc="T T T"
N 0.000 0.000 0.000
Li 0.896 -1.286 1.392
Mg -0.198 0.172 3.444
Li -1.736 0.059 1.173
Co 0.642 1.398 0.879

=====

(8)
5
Lattice="-2.193 -2.692 1.326 2.891 -1.455 1.828 -0.869 2.279 3.189" Properties=species:S:1:pos:R:3 comment="LiMgCo2N PBE relaxed" total_magnetization_mub_per_atom=0.17 space_group=P4/mmm e_tot_ha_per_atom=-0.1987 crystal_system=tetragonal raw_formation_energy_ev_per_fu=-1.0 pbc="T T T"
N 0.000 0.000 0.000
Co 1.446 -0.727 0.914
Co -1.097 -1.346 0.663
Mg -0.086 -0.934 3.171
Li -0.435 1.139 1.594

=====

(9)
4
Lattice="-3.515 -1.916 -2.616 0.990 -2.032 -4.214 -0.297 -4.747 -0.494" Properties=species:S:1:pos:R:3 comment="LiNdMgCo PBE relaxed" total_magnetization_mub_per_atom=0.00 space_group=F-43m e_tot_ha_per_atom=-0.1390 formation_enthalpy_0k_ev_per_atom=0.062 crystal_system=cubic pbc="T T T"
Mg -0.705 -2.174 -1.831
Nd -2.116 -6.522 -5.493
Li -1.411 -4.348 -3.662
Co 0.000 0.000 0.000